10
Lattice="-3.7344 1.7340 -4.4594 2.6481 -5.6413 -4.4118 -4.9038 -4.2349 2.4603" Properties=species:S:1:pos:R:3 comment="TaTeCl3 | the Alexandria database | GGA-PBE | optimized geometry" polymorph_energy_ev_per_atom=0.0000 formation_energy_uncorrected_mev_per_atom=-790 energy_ev_per_cell=-48.97 crystal_system=monoclinic sg="P2_1 (4)" pbc="T T T"
Ta -2.4092 -6.3759 -2.0823
Ta -1.7614 -3.5258 -5.6475
Te -3.8721 -4.3766 -1.5551
Te -1.6328 -4.9069 -7.7668
Cl -1.6726 -2.3941 -3.5204
Cl -4.0957 -7.8486 -3.0262
Cl -4.1756 -3.4521 -5.3806
Cl -4.6409 -6.5140 -6.7672
Cl -6.5915 -5.5392 -4.1683
Cl -1.6082 -5.7003 -4.2742

=====

6
Lattice="5.4844 0.0000 0.0000 0.0000 5.4667 0.0000 0.0000 -2.7333 8.2673" Properties=species:S:1:pos:R:3 comment="Ac5Sc | the Alexandria database | GGA-PBE | optimized geometry" energy_ev_per_cell=-26.40 crystal_system=orthorhombic sg="Cmmm (65)" pbc="T T T"
Sc 0.0000 0.0000 0.0000
Ac 0.0000 2.7333 2.6697
Ac 0.0000 0.0000 5.5976
Ac 2.7422 2.7333 0.0000
Ac 2.7422 0.0000 2.6896
Ac 2.7422 2.7333 5.5777

=====

20
Lattice="-6.0943 -4.9327 -2.9096 3.4339 -4.2454 6.3343 -3.9179 6.4759 3.5569" Properties=species:S:1:pos:R:3 comment="BaU3Ni4S12 | the Alexandria database | GGA-PBE | optimized geometry" formation_energy_uncorrected_mev_per_atom=-801 energy_ev_per_cell=-124.46 crystal_system=trigonal sg="R32 (155)" pbc="T T T"
Ba 0.0000 0.0000 0.0000
U -1.9330 -4.6326 1.1275
U -4.8684 1.4934 0.7328
U 0.2231 0.4369 5.1213
Ni -7.3955 -1.6474 -0.4931
Ni -2.3512 3.5656 6.2776
Ni -0.1208 -5.9717 4.6877
Ni -3.2892 -1.3511 3.4908
S -4.4633 0.3612 3.0472
S -4.1767 -6.0036 0.8537
S 0.5964 -1.0709 7.2605
S -6.2873 3.0210 2.3581
S 0.2160 -4.3209 5.9974
S -4.0738 3.5925 5.0184
S -6.5000 -3.5264 -0.0232
S -1.4215 -6.2167 3.0139
S -0.9140 2.0428 6.6890
S -7.0417 0.3218 0.2491
S -3.6368 -3.1733 2.4580
S -1.7674 -1.2414 4.9671

=====

4
Lattice="-4.9792 0.2865 2.5219 0.1764 -4.4254 3.4087 3.7994 4.0757 -0.4330" Properties=species:S:1:pos:R:3 comment="Ca2AsPb | the Alexandria database | GGA-PBE | optimized geometry" polymorph_energy_ev_per_atom=0.0943 energy_ev_per_cell=-14.94 crystal_system=tetragonal sg="I4/mmm (139)" pbc="T T T"
Pb 0.7872 -1.2096 2.9705
As -1.7906 1.1464 2.5271
Ca 0.0000 0.0000 0.0000
Ca -2.4014 -2.0694 2.9653

=====

5
Lattice="-3.6383 1.2484 -2.0714 -2.6327 -3.3877 2.5824 -0.7576 2.9653 3.1176" Properties=species:S:1:pos:R:3 comment="CsNb2PN | the Alexandria database | GGA-PBE | optimized geometry" formation_energy_uncorrected_mev_per_atom=870 energy_ev_per_cell=-30.38 crystal_system=tetragonal sg="P4/mmm (123)" pbc="T T T"
Cs -3.5143 0.4130 1.8143
P -1.3163 -1.6938 1.2912
Nb -0.3788 1.4826 1.5588
Nb -1.8191 0.6242 -1.0357
N 0.0000 0.0000 0.0000

=====

14
Lattice="7.1661 0.0000 0.0000 0.0000 7.1661 0.0000 0.0000 0.0000 7.1661" Properties=species:S:1:pos:R:3 comment="SnGe3Au3 | the Alexandria database | GGA-PBE | optimized geometry" energy_ev_per_cell=-51.53 crystal_system=cubic sg="Pm-3n (223)" pbc="T T T"
Ge 1.7915 0.0000 3.5830
Ge 0.0000 3.5830 1.7915
Ge 3.5830 5.3746 0.0000
Ge 5.3746 0.0000 3.5830
Ge 0.0000 3.5830 5.3746
Ge 3.5830 1.7915 0.0000
Au 0.0000 1.7915 3.5830
Au 0.0000 5.3746 3.5830
Au 3.5830 0.0000 5.3746
Au 5.3746 3.5830 0.0000
Au 3.5830 0.0000 1.7915
Au 1.7915 3.5830 0.0000
Sn 3.5830 3.5830 3.5830
Sn 0.0000 0.0000 0.0000

=====

6
Lattice="-1.2799 4.5304 -1.4317 -4.7495 -1.1789 0.5156 3.1641 0.0439 5.7660" Properties=species:S:1:pos:R:3 comment="NdCd2Cu2Ge | the Alexandria database | GGA-PBE | optimized geometry" energy_ev_per_cell=-19.33 crystal_system=tetragonal sg="I4/mmm (139)" pbc="T T T"
Nd -3.0147 1.6758 -0.4581
Cd -2.3000 0.2704 2.9118
Cd -0.5653 3.1251 1.9381
Cu -2.9261 2.6959 2.6907
Cu 0.0608 0.6996 2.1592
Ge 0.0000 0.0000 0.0000

=====

5
Lattice="5.1303 0.0000 0.0000 0.0000 5.1303 0.0000 0.0000 0.0000 5.1303" Properties=species:S:1:pos:R:3 comment="Na3TiNi | the Alexandria database | GGA-PBE | optimized geometry" polymorph_energy_ev_per_atom=0.0000 energy_ev_per_cell=-11.72 crystal_system=cubic sg="Pm-3m (221)" pbc="T T T"
Ni 0.0000 0.0000 0.0000
Na 0.0000 2.5652 0.0000
Na 0.0000 0.0000 2.5652
Na 2.5652 0.0000 0.0000
Ti 2.5652 2.5652 2.5652

=====

4
Lattice="3.0749 -1.1664 2.6028 1.6823 2.7895 2.6417 -0.7391 -0.3007 4.1175" Properties=species:S:1:pos:R:3 comment="Li2RhF | the Alexandria database | GGA-PBE | optimized geometry" polymorph_energy_ev_per_atom=0.5980 formation_energy_uncorrected_mev_per_atom=-348 energy_ev_per_cell=-14.44 crystal_system=cubic sg="Fm-3m (225)" pbc="T T T"
Li 1.0045 0.3306 2.3405
Li 3.0136 0.9918 7.0215
Rh 2.0090 0.6612 4.6810
F 0.0000 0.0000 0.0000

=====

4
Lattice="-0.7905 1.1852 2.1689 -3.1968 0.7053 -1.5506 -1.8494 -4.4809 1.7745" Properties=species:S:1:pos:R:3 comment="Mn2CoOs | the Alexandria database | GGA-PBE | optimized geometry" energy_ev_per_cell=-36.49 crystal_system=orthorhombic sg="Pmm2 (25)" pbc="T T T"
Co -3.3818 -2.4181 1.6411
Mn -1.8457 -4.4719 1.7710
Mn -2.4433 -0.1442 0.7406
Os -0.9400 -2.2775 0.9019

=====

4
Lattice="5.3121 0.0017 -0.0298 2.1676 4.8498 0.0298 -3.7240 -2.4502 2.8893" Properties=species:S:1:pos:R:3 comment="ScCd2Rh | the Alexandria database | GGA-PBE | optimized geometry" energy_ev_per_cell=-17.18 crystal_system=tetragonal sg="I4/mmm (139)" pbc="T T T"
Sc 1.0917 2.4126 1.4595
Rh 2.6640 -0.0114 1.4298
Cd 0.0002 0.0001 0.0000
Cd 3.7397 2.4256 0.0000

=====

5
Lattice="-1.0863 2.1800 3.0316 1.0246 -2.8621 2.4252 3.5907 1.4762 0.2252" Properties=species:S:1:pos:R:3 comment="GeRuN3 | the Alexandria database | GGA-PBE | optimized geometry" formation_energy_uncorrected_mev_per_atom=1254 energy_ev_per_cell=-32.60 crystal_system=cubic sg="Pm-3m (221)" pbc="T T T"
Ru 0.0000 0.0000 0.0000
Ge 1.7645 0.3971 2.8410
N 0.5123 -1.4310 1.2126
N 1.7953 0.7381 0.1126
N -0.5432 1.0900 1.5158